Entry 1:
First-principles (GGA-PBE) data for a relaxed Ge2Ru crystal, as listed in Alexandria.

Properties
- formation energy (meV per atom) = -183

Cell and atoms, written as CIF:
```
data_Ge2Ru
_chemical_formula_sum 'Ge2 Ru1'
_symmetry_space_group_name_H-M 'P 4/m m m'
_symmetry_Int_Tables_number 123
_symmetry_space_group_name_Hall '-P 4 2'
_cell_length_a 2.995
_cell_length_b 2.995
_cell_length_c 5.550
_cell_angle_alpha 90.00
_cell_angle_beta 90.00
_cell_angle_gamma 90.00
loop_
_atom_site_label
_atom_site_fract_x
_atom_site_fract_y
_atom_site_fract_z
_atom_site_occupancy
Ge1 0.000 0.000 0.225 1
Ru1 0.500 0.500 0.500 1
```

---

Entry 2:
First-principles (GGA-PBE) data for a relaxed MnCo2Au crystal, as listed in Alexandria.

Properties
- formation energy (meV per atom) = 250

Cell and atoms, written as CIF:
```
data_MnCo2Au
_chemical_formula_sum 'Mn3 Co6 Au3'
_symmetry_space_group_name_H-M 'R 3 m'
_symmetry_Int_Tables_number 160
_symmetry_space_group_name_Hall 'R 3 -2"'
_cell_length_a 2.7364
_cell_length_b 2.7364
_cell_length_c 25.3958
_cell_angle_alpha 90.00
_cell_angle_beta 90.00
_cell_angle_gamma 120.00
loop_
_atom_site_label
_atom_site_fract_x
_atom_site_fract_y
_atom_site_fract_z
_atom_site_occupancy
Mn1 0.0000 0.0000 0.0000 1
Co1 0.0000 0.0000 0.2557 1
Co2 0.0000 0.0000 0.5161 1
Au1 0.0000 0.0000 0.7587 1
```

---

Entry 3:
First-principles (GGA-PBE) data for a relaxed CaMgBr2 crystal, as listed in Alexandria.

Properties
- formation energy (no corrections) (eV per formula unit) = -4.47

Cell and atoms, written as CIF:
```
data_CaMgBr2
_chemical_formula_sum 'Ca2 Mg2 Br4'
_symmetry_space_group_name_H-M 'C m m m'
_symmetry_Int_Tables_number 65
_symmetry_space_group_name_Hall '-C 2 2'
_cell_length_a 5.116
_cell_length_b 5.137
_cell_length_c 10.316
_cell_angle_alpha 90.00
_cell_angle_beta 90.00
_cell_angle_gamma 90.00
loop_
_atom_site_label
_atom_site_fract_x
_atom_site_fract_y
_atom_site_fract_z
_atom_site_occupancy
Ca1 0.000 0.000 0.000 1
Mg1 0.000 0.000 0.500 1
Br1 0.000 0.500 0.165 1
```

---

Entry 4:
First-principles (GGA-PBE) data for a relaxed HoHg3Pd6 crystal, as listed in Alexandria.

Properties
- formation energy (meV per atom) = -394

Cell and atoms, written as CIF:
```
data_HoHg3Pd6
_chemical_formula_sum 'Ho2 Hg6 Pd12'
_symmetry_space_group_name_H-M 'P 1 21/m 1'
_symmetry_Int_Tables_number 11
_cell_length_a 7.883
_cell_length_b 4.769
_cell_length_c 10.339
_cell_angle_alpha 90.00
_cell_angle_beta 112.40
_cell_angle_gamma 90.00
loop_
_symmetry_equiv_pos_as_xyz
'x,y,z'
'-x,-y,-z'
'-x,y+1/2,-z'
'x,-y+1/2,z'
loop_
_atom_site_label
_atom_site_fract_x
_atom_site_fract_y
_atom_site_fract_z
_atom_site_occupancy
Ho1 0.195 0.250 0.130 1
Hg1 0.024 0.750 0.674 1
Hg2 0.230 0.750 0.474 1
Hg3 0.389 0.250 0.910 1
Pd1 0.005 0.750 0.174 1
Pd2 0.190 0.250 0.619 1
Pd3 0.210 0.750 0.969 1
Pd4 0.388 0.250 0.425 1
Pd5 0.411 0.750 0.275 1
Pd6 0.418 0.750 0.774 1
```